Here is crystalline Ti2V4O9 at its relaxed geometry from Alexandria. Energies are from PBE with a Hubbard U. Values from VASP.

The structure in Quantum ESPRESSO input format:
```
&SYSTEM
  ibrav = 0, nat = 30, ntyp = 3
/
ATOMIC_SPECIES
O 16.00 O.upf
V 50.94 V.upf
Ti 47.87 Ti.upf
ATOMIC_POSITIONS angstrom
O -7.3866 -4.0068 -0.7554
O -8.0871 -11.7259 -0.3096
O -4.3301 -7.8544 -0.0915
O -9.0242 -9.2634 -1.7371
O -7.3578 -2.4177 -3.2958
O -3.6296 -0.1354 -0.5373
O -6.5406 -9.4898 0.1820
O -7.1812 -5.1747 -3.3156
O -2.6926 -2.5978 0.8901
O -5.1761 -2.3715 -1.0289
O -1.1585 -1.3903 -1.0647
O -8.5349 -10.4846 2.1848
O -4.3589 -9.4436 2.4488
O -10.5582 -10.4709 0.2178
O -4.5355 -6.6865 2.4686
O -3.1819 -1.3766 -3.0317
O -5.0107 -5.3232 -1.5199
O -6.7060 -6.5380 0.6730
V -3.1446 -2.1364 -1.0507
V -7.2187 -11.8819 3.0690
V -6.0373 -3.6663 -2.3575
V -4.6865 -5.8229 0.5077
V -7.0302 -6.0384 -1.3547
V -8.5722 -9.7249 0.2037
V -5.6794 -8.1949 1.5106
V -4.4980 0.0206 -3.9159
Ti -4.3221 -10.3402 4.3706
Ti -6.5688 -2.8364 0.5025
Ti -5.1480 -9.0249 -1.3494
Ti -7.3947 -1.5210 -5.2176
CELL_PARAMETERS angstrom
-4.7807 1.4453 -1.3069
-1.8722 -1.1887 -4.6623
-5.0637 -12.1178 5.1223
```

VASP energy: -0.61666 Ry per atom

---

Here is crystalline TiV3O at its relaxed geometry from Alexandria. Energies are from PBE with a Hubbard U. Values from VASP.

The structure in Quantum ESPRESSO input format:
```
&SYSTEM
  ibrav = 0, nat = 5, ntyp = 3
/
ATOMIC_SPECIES
Ti 47.87 Ti.upf
V 50.94 V.upf
O 16.00 O.upf
ATOMIC_POSITIONS angstrom
Ti 2.0735 2.0735 2.0735
V 0.0000 2.0735 0.0000
V 0.0000 0.0000 2.0735
V 2.0735 0.0000 0.0000
O 0.0000 0.0000 0.0000
CELL_PARAMETERS angstrom
4.1469 0.0000 0.0000
0.0000 4.1469 0.0000
0.0000 0.0000 4.1469
```

Energy above the lowest structure with this stoichiometry: 0.0 meV/atom

---

Here is crystalline Ti2VO5 at its relaxed geometry from Alexandria. Energies are from PBE with a Hubbard U. Values from VASP.

The structure in Quantum ESPRESSO input format:
```
&SYSTEM
  ibrav = 0, nat = 32, ntyp = 3
/
ATOMIC_SPECIES
O 16.00 O.upf
V 50.94 V.upf
Ti 47.87 Ti.upf
ATOMIC_POSITIONS angstrom
O -3.7897 -0.3935 -5.8777
O -1.7352 -2.8061 -5.1880
O -7.1443 -0.8733 -0.3386
O -6.8890 -3.4763 -5.2461
O -6.6046 1.4460 -2.4586
O 0.4724 -0.3479 -4.7189
O -9.2418 -2.8437 -1.1155
O -6.2591 -0.6248 -4.2560
O -3.9964 -2.8072 -3.7224
O -8.8122 -1.0122 -2.9277
O -2.0891 0.0543 -0.4322
O -6.6485 -2.9362 -2.5463
O -6.2507 -1.4143 -7.2144
O -1.6913 1.5761 -5.1003
O -4.5501 -0.9665 -1.7689
O 0.9020 1.4836 -6.5310
O -2.0807 -0.7352 -3.3905
O -4.3433 1.4471 -3.9242
O -1.1955 -0.4867 -7.3080
O -1.4508 2.1162 -2.4005
V -5.6235 0.5567 -0.7814
V 1.4536 -1.2367 -3.0419
V 0.0000 0.0000 0.0000
V -4.1699 -0.6800 -3.8233
Ti -5.0035 -0.0838 -7.4539
Ti 0.5613 -0.4871 -6.7629
Ti -3.4479 1.5763 -5.6453
Ti -8.9011 -0.8730 -0.8837
Ti -3.3363 -1.2763 -0.1927
Ti -7.5063 -1.9551 -4.0167
Ti -4.8919 -2.9364 -2.0013
Ti -0.8335 0.5951 -3.6299
CELL_PARAMETERS angstrom
-1.6246 4.2437 -2.5017
2.9072 -2.4734 -6.0838
-9.6223 -3.1303 0.9389
```

VASP energy: -0.64149 Ry per atom

---

Here is crystalline TiVO at its relaxed geometry from Alexandria. Energies are from PBE with a Hubbard U. Values from VASP.

The structure in Quantum ESPRESSO input format:
```
&SYSTEM
  ibrav = 0, nat = 12, ntyp = 3
/
ATOMIC_SPECIES
V 50.94 V.upf
Ti 47.87 Ti.upf
O 16.00 O.upf
ATOMIC_POSITIONS angstrom
V -3.4835 -0.0181 -2.6321
V -5.0146 -1.7391 -0.5938
V -0.9201 1.1894 0.3131
V -2.4512 -0.5314 2.3514
Ti -2.0472 -1.4643 -0.4533
Ti -6.1419 -4.3928 -1.3606
Ti -3.5785 -3.1853 1.5848
Ti -4.6106 -2.6718 -3.3986
O -2.2968 -2.5814 3.0572
O -3.3288 -2.0680 -1.9260
O -5.8923 -3.2757 -4.8711
O -4.8603 -3.7891 0.1121
CELL_PARAMETERS angstrom
-5.1269 -2.4153 -5.8904
-3.0622 -3.4418 4.0765
-0.3091 4.0998 -1.4121
```

VASP energy: -0.57460 Ry per atom

---

Here is crystalline Ti3VO7 at its relaxed geometry from Alexandria. Energies are from PBE with a Hubbard U. Values from VASP.

The structure in Quantum ESPRESSO input format:
```
&SYSTEM
  ibrav = 0, nat = 22, ntyp = 3
/
ATOMIC_SPECIES
O 16.00 O.upf
Ti 47.87 Ti.upf
V 50.94 V.upf
ATOMIC_POSITIONS angstrom
O -0.8043 2.2285 5.7833
O -4.7375 3.7648 -0.6624
O -4.2906 5.1969 1.5413
O -3.0643 2.7959 4.5682
O -5.3840 3.2548 3.4217
O -1.4073 1.3121 3.3536
O -4.5959 4.5078 5.6389
O -2.0007 4.7308 3.3466
O -0.7082 1.9397 -0.4986
O -2.5293 3.5140 0.5557
O -1.5169 5.3558 -0.6072
O -3.5928 1.5792 1.7773
O -0.4464 3.0352 1.9177
O -4.0767 0.9542 5.7311
Ti -2.1932 1.0548 5.1878
Ti -3.4231 5.2044 -0.1641
Ti -5.0042 2.5927 5.1763
Ti -0.5667 3.7680 0.0478
Ti -3.8770 2.0347 -0.1528
Ti -2.3275 2.9087 2.5804
V -6.1683 4.9244 2.4291
V -0.0362 0.0190 -0.0014
CELL_PARAMETERS angstrom
-1.2988 5.6248 -2.5567
-5.5166 -2.0481 2.2881
1.2219 2.7332 5.3925
```

VASP energy: -0.63368 Ry per atom

---

Here is crystalline TiV2O7 at its relaxed geometry from Alexandria. Energies are from PBE with a Hubbard U. Values from VASP.

The structure in Quantum ESPRESSO input format:
```
&SYSTEM
  ibrav = 0, nat = 40, ntyp = 3
/
ATOMIC_SPECIES
O 16.00 O.upf
V 50.94 V.upf
Ti 47.87 Ti.upf
ATOMIC_POSITIONS angstrom
O 4.9127 7.0285 5.1878
O 3.5212 0.5582 6.0349
O 0.5582 6.0349 3.5212
O 8.1507 1.6805 0.8333
O 7.8756 0.5582 7.0285
O 7.8756 3.7962 2.6740
O 0.0000 0.0000 4.3545
O 1.6805 3.5212 3.7962
O 0.0000 4.3545 0.0000
O 1.6805 0.8333 8.1507
O 3.7962 2.6740 7.8756
O 6.0349 0.8333 4.9127
O 6.0349 3.5212 0.5582
O 5.1878 4.9127 7.0285
O 5.1878 8.1507 2.6740
O 4.3545 4.3545 4.3545
O 0.8333 8.1507 1.6805
O 4.9127 6.0349 0.8333
O 7.0285 5.1878 4.9127
O 4.3545 0.0000 0.0000
O 7.0285 7.8756 0.5582
O 2.6740 7.8756 3.7962
O 8.1507 2.6740 5.1878
O 0.5582 7.0285 7.8756
O 3.5212 3.7962 1.6805
O 0.8333 4.9127 6.0349
O 2.6740 5.1878 8.1507
O 3.7962 1.6805 3.5212
V 7.6754 3.3209 1.0336
V 3.3209 3.3209 3.3209
V 5.3881 7.6754 1.0336
V 1.0336 7.6754 3.3209
V 7.6754 1.0336 5.3881
V 1.0336 5.3881 7.6754
V 5.3881 5.3881 5.3881
V 3.3209 1.0336 7.6754
Ti 4.3545 4.3545 0.0000
Ti 0.0000 0.0000 0.0000
Ti 0.0000 4.3545 4.3545
Ti 4.3545 0.0000 4.3545
CELL_PARAMETERS angstrom
8.7089 0.0000 0.0000
0.0000 8.7089 0.0000
0.0000 0.0000 8.7089
```

VASP energy: -0.58456 Ry per atom

---

Here is crystalline TiVO3 at its relaxed geometry from Alexandria. Energies are from PBE with a Hubbard U. Values from VASP.

The structure in Quantum ESPRESSO input format:
```
&SYSTEM
  ibrav = 0, nat = 20, ntyp = 3
/
ATOMIC_SPECIES
V 50.94 V.upf
Ti 47.87 Ti.upf
O 16.00 O.upf
ATOMIC_POSITIONS angstrom
V 0.0115 4.5561 6.4188
V 5.1538 4.1367 2.6458
V 2.5861 5.0169 4.8967
V 5.1498 1.7827 1.1766
Ti 2.5941 4.5288 1.0955
Ti 2.5840 1.8284 6.4439
Ti 5.1623 2.1948 4.9116
Ti 2.5592 1.3446 2.6590
O 3.3892 5.0646 2.9714
O 1.0515 5.7241 1.9455
O 3.2722 0.9269 0.7019
O 1.6520 2.9815 1.8891
O 4.1898 0.7159 5.6471
O 3.5648 3.2866 5.6991
O 1.8855 5.4486 6.9106
O 0.7667 4.0500 4.4856
O 4.2979 2.2187 3.1191
O 4.2899 3.7422 0.7815
O 1.7568 1.3698 4.4905
O 0.8788 2.6105 6.8041
CELL_PARAMETERS angstrom
5.1533 -0.0165 -0.0056
-0.0069 5.5601 0.0070
0.0179 0.8109 7.5685
```

VASP energy: -0.62802 Ry per atom

---

Here is crystalline TiV2O at its relaxed geometry from Alexandria. Energies are from PBE with a Hubbard U. Values from VASP.

The structure in Quantum ESPRESSO input format:
```
&SYSTEM
  ibrav = 0, nat = 8, ntyp = 3
/
ATOMIC_SPECIES
V 50.94 V.upf
O 16.00 O.upf
Ti 47.87 Ti.upf
ATOMIC_POSITIONS angstrom
V 3.6949 1.4793 0.9670
V 2.2222 4.4378 0.9670
V 7.3964 6.6535 2.9009
V 4.4378 5.1807 2.9009
O 2.9585 5.9171 1.9339
O 2.9585 2.9585 0.0000
Ti 0.0000 0.0000 0.0000
Ti 5.9171 2.9585 1.9339
CELL_PARAMETERS angstrom
5.9171 0.0000 0.0000
0.0000 5.9171 0.0000
2.9585 2.9585 3.8678
```

VASP energy: -0.50213 Ry per atom

---

Here is crystalline Ti3V2O9 at its relaxed geometry from Alexandria. Energies are from PBE with a Hubbard U. Values from VASP.

The structure in Quantum ESPRESSO input format:
```
&SYSTEM
  ibrav = 0, nat = 28, ntyp = 3
/
ATOMIC_SPECIES
Ti 47.87 Ti.upf
O 16.00 O.upf
V 50.94 V.upf
ATOMIC_POSITIONS angstrom
Ti 0.0000 0.0000 0.0000
Ti -0.6349 1.3489 8.0105
Ti -2.0549 -10.0540 10.8268
Ti -2.6911 -7.9251 13.5934
Ti 0.0013 -0.7800 5.2440
Ti 0.2131 1.9692 2.8140
O -1.5717 -8.5943 9.5642
O -2.4739 -6.4154 12.3159
O -1.8014 -9.0405 12.4278
O -2.7310 -6.8564 15.1779
O -1.9950 -3.2074 9.4388
O -0.2159 -2.2897 6.5215
O -0.5435 -5.4897 6.7178
O -2.8003 -0.8844 10.8616
O -0.6947 -5.4976 9.3986
O -0.8884 0.3355 6.4096
O -2.1463 -3.2154 12.1195
O 0.0412 -1.8486 3.6594
O -3.1475 -5.0181 7.9169
O 0.4578 -3.6869 10.9204
O 0.8905 -3.5879 8.2658
O -1.1181 -0.1108 9.2732
O -3.5802 -5.1172 10.5716
O 0.1106 -7.8206 7.9757
V -0.9583 -3.8963 7.8397
V -1.7315 -4.8088 10.9976
V -1.1545 -1.8501 10.6308
V -1.5352 -6.8549 8.2065
CELL_PARAMETERS angstrom
-4.2204 -5.8209 6.4559
1.1044 -6.8225 6.7534
0.4263 3.9383 5.6280
```

Energy above the lowest structure with this stoichiometry: 23.1 meV/atom

---

Here is crystalline Ti2VO at its relaxed geometry from Alexandria. Energies are from PBE with a Hubbard U. Values from VASP.

The structure in Quantum ESPRESSO input format:
```
&SYSTEM
  ibrav = 0, nat = 4, ntyp = 3
/
ATOMIC_SPECIES
V 50.94 V.upf
Ti 47.87 Ti.upf
O 16.00 O.upf
ATOMIC_POSITIONS angstrom
V 0.9292 -4.7944 -0.2233
Ti 0.1171 -2.1485 -0.1526
Ti 1.7412 -7.4403 -0.2939
O 0.0000 0.0000 0.0000
CELL_PARAMETERS angstrom
-1.6873 -2.1879 1.0288
-1.1790 -1.9546 -1.8659
4.7246 -5.4462 0.3906
```

VASP energy: -0.58388 Ry per atom

---

Here is crystalline TiW3O at its relaxed geometry from Alexandria. Energies are from PBE with a Hubbard U. Values from VASP.

The structure in Quantum ESPRESSO input format:
```
&SYSTEM
  ibrav = 0, nat = 5, ntyp = 3
/
ATOMIC_SPECIES
W 183.84 W.upf
O 16.00 O.upf
Ti 47.87 Ti.upf
ATOMIC_POSITIONS angstrom
W 0.0000 2.3920 0.0000
W 0.0000 0.0000 2.3920
W 2.3920 0.0000 0.0000
O 2.3920 2.3920 2.3920
Ti 0.0000 0.0000 0.0000
CELL_PARAMETERS angstrom
4.7841 0.0000 0.0000
0.0000 4.7841 0.0000
0.0000 0.0000 4.7841
```

Energy above the lowest structure with this stoichiometry: 2040.5 meV/atom

---

Here is crystalline TiWO4 at its relaxed geometry from Alexandria. Energies are from PBE with a Hubbard U. Values from VASP.

The structure in Quantum ESPRESSO input format:
```
&SYSTEM
  ibrav = 0, nat = 6, ntyp = 3
/
ATOMIC_SPECIES
O 16.00 O.upf
Ti 47.87 Ti.upf
W 183.84 W.upf
ATOMIC_POSITIONS angstrom
O 0.0000 3.5190 3.1343
O 0.0000 1.4631 1.3031
O 1.5656 1.1254 3.7520
O 1.5656 3.8567 0.6855
Ti 0.0000 0.0000 0.0000
W 1.5656 2.4911 2.2187
CELL_PARAMETERS angstrom
3.1313 0.0000 0.0000
0.0000 4.7000 -0.2613
0.0000 0.2821 4.6988
```

Energy above the lowest structure with this stoichiometry: 4.4 meV/atom

---

Here is crystalline TiWO2 at its relaxed geometry from Alexandria. Energies are from PBE with a Hubbard U. Values from VASP.

The structure in Quantum ESPRESSO input format:
```
&SYSTEM
  ibrav = 0, nat = 8, ntyp = 3
/
ATOMIC_SPECIES
O 16.00 O.upf
Ti 47.87 Ti.upf
W 183.84 W.upf
ATOMIC_POSITIONS angstrom
O 2.1076 -4.9196 7.1964
O 2.4132 -1.6447 2.7012
O -0.5150 -2.5649 2.6792
O 1.3156 -2.3634 5.6929
Ti 1.1356 -2.6729 1.6260
Ti 2.8739 -2.2539 4.5074
W -0.2132 -3.4924 4.6275
W 0.0000 0.0000 0.0000
CELL_PARAMETERS angstrom
-1.9514 -3.9115 1.7460
4.2226 -1.4344 1.5059
0.3895 -0.4004 5.8829
```

Energy above the lowest structure with this stoichiometry: 242.7 meV/atom

---

Here is crystalline TiWO2 at its relaxed geometry from Alexandria. Energies are from PBE with a Hubbard U. Values from VASP.

The structure in Quantum ESPRESSO input format:
```
&SYSTEM
  ibrav = 0, nat = 4, ntyp = 3
/
ATOMIC_SPECIES
O 16.00 O.upf
Ti 47.87 Ti.upf
W 183.84 W.upf
ATOMIC_POSITIONS angstrom
O 4.1678 4.1678 4.1678
O 1.3893 1.3893 1.3893
Ti 0.0000 0.0000 0.0000
W 2.7786 2.7786 2.7786
CELL_PARAMETERS angstrom
0.0000 2.7786 2.7786
2.7786 0.0000 2.7786
2.7786 2.7786 0.0000
```

Energy above the lowest structure with this stoichiometry: 867.4 meV/atom

---

Here is crystalline TiW4O12 at its relaxed geometry from Alexandria. Energies are from PBE with a Hubbard U. Values from VASP.

The structure in Quantum ESPRESSO input format:
```
&SYSTEM
  ibrav = 0, nat = 17, ntyp = 3
/
ATOMIC_SPECIES
O 16.00 O.upf
W 183.84 W.upf
Ti 47.87 Ti.upf
ATOMIC_POSITIONS angstrom
O -1.8885 3.9923 0.4863
O 2.8386 3.9775 0.1418
O 0.1832 3.9923 1.9415
O 2.6536 2.7457 2.6079
O 0.1759 1.5069 1.9523
O 4.9030 1.4921 1.6079
O 4.2597 1.4878 -1.8813
O 0.3609 2.7387 -0.5137
O 2.8313 1.4921 0.1527
O -1.2452 3.9966 3.9755
O 1.4277 0.6278 4.3531
O 1.5868 4.8566 -2.2589
W 3.0780 -0.0095 -1.1890
W 1.5072 2.7422 1.0471
W -1.6452 2.7613 5.5349
W -0.0745 0.0095 3.2988
Ti -1.5707 2.7518 2.2361
CELL_PARAMETERS angstrom
6.1560 -0.0191 -2.3781
-2.9925 5.4844 -2.1254
-0.1489 0.0191 6.5977
```

VASP energy: -0.56746 Ry per atom

---

Here is crystalline TiWO2 at its relaxed geometry from Alexandria. Energies are from PBE with a Hubbard U. Values from VASP.

The structure in Quantum ESPRESSO input format:
```
&SYSTEM
  ibrav = 0, nat = 4, ntyp = 3
/
ATOMIC_SPECIES
Ti 47.87 Ti.upf
O 16.00 O.upf
W 183.84 W.upf
ATOMIC_POSITIONS angstrom
Ti 0.0000 0.0000 9.7179
O 0.0000 0.0000 2.0820
O 0.0000 0.0000 17.3537
W 0.0000 0.0000 0.0000
CELL_PARAMETERS angstrom
1.6705 0.0000 6.4786
-0.8353 1.4467 6.4786
-0.8353 -1.4467 6.4786
```

Energy above the lowest structure with this stoichiometry: 0.0 meV/atom

---

| no. | theoretical density (g/cm³) |
| --- | --- |
| 1 | 4.53 |
| 2 | 5.05 |
| 3 | 4.25 |
| 4 | 4.94 |
| 5 | 4.28 |
| 6 | 2.63 |
| 7 | 4.50 |
| 8 | 4.06 |
| 9 | 3.80 |
| 10 | 5.11 |
| 11 | 9.33 |
| 12 | 7.08 |
| 13 | 8.10 |
| 14 | 10.21 |
| 15 | 7.33 |
| 16 | 9.32 |